VASP calculation (PBE) on Ba2NiOs2 after structural relaxation.

- formation enthalpy at 0 K (eV/atom) = 0.598
- uncorrected energy (eV/atom) = -5.82
- distance to the lowest polymorph of the same formula (meV per atom) = 0
- symmetry = No. 139

Cell lengths 10.108, 10.108, 10.108 Å; angles 159.48, 159.48, 29.18 degrees
Positions (direct):
Ba1 0.101 0.101 0.000
Ba2 0.899 0.899 0.000
Ni1 0.500 0.500 0.000
Os1 0.250 0.750 0.500
Os2 0.750 0.250 0.500